[1]
Material: Tl2TeSe
Method: DFT, PBE-GGA
State: relaxed

Geometry as POSCAR:
```
Tl2TeSe
1.0
2.374 -11.130 0.000
2.374 11.130 0.000
0.000 0.000 5.603
Tl Te Se
4 2 2
Direct
0.084 0.916 0.750
0.282 0.718 0.750
0.718 0.282 0.250
0.916 0.084 0.250
0.475 0.525 0.750
0.525 0.475 0.250
0.305 0.695 0.250
0.695 0.305 0.750
```

Uncorrected energy = -24.4 eV per cell
Offset from the most stable computed form = 0.00 eV per formula unit
Formation energy (no corrections) = -0.86 eV per formula unit
M_tot = 0.0 μB/f.u.

***

[2]
Material: Ho3PbSeO
Method: DFT, PBE-GGA
State: relaxed

Geometry as POSCAR:
```
Ho3PbSeO
1.0
8.857 0.000 0.000
0.000 3.969 0.000
-1.902 0.000 8.694
Ho Pb Se O
6 2 2 2
Direct
0.077 0.250 0.338
0.340 0.250 0.983
0.392 0.750 0.646
0.608 0.250 0.354
0.660 0.750 0.017
0.923 0.750 0.662
0.321 0.750 0.274
0.679 0.250 0.726
0.155 0.250 0.665
0.845 0.750 0.335
0.412 0.750 0.904
0.588 0.250 0.096
```

Uncorrected energy = -72.3 eV per cell
Formation energy (no corrections) = -10.29 eV per formula unit
M_tot = 0.0 μB/f.u.

***

[3]
Material: NbTl3Cu2S6
Method: DFT, PBE-GGA
State: relaxed

Geometry as POSCAR:
```
NbTl3Cu2S6
1.0
3.486 -5.180 0.000
3.486 5.180 0.000
-2.726 0.000 7.408
Nb Tl Cu S
1 3 2 6
Direct
0.000 0.000 0.000
0.157 0.843 0.500
0.500 0.500 0.500
0.843 0.157 0.500
0.326 0.674 0.000
0.674 0.326 0.000
0.015 0.359 0.204
0.287 0.287 0.857
0.359 0.015 0.204
0.641 0.985 0.796
0.713 0.713 0.143
0.985 0.641 0.796
```

Uncorrected energy = -54.2 eV per cell
Formation energy (no corrections) = -4.05 eV per formula unit
M_tot = 0.0 μB/f.u.

***

[4]
Material: Cs2Na2O2F
Method: DFT, PBE-GGA
State: relaxed

Geometry as POSCAR:
```
Cs2Na2O2F
1.0
6.429 -1.953 0.000
6.429 1.953 0.000
-4.784 0.000 6.219
Cs Na O F
2 2 2 1
Direct
0.056 0.056 0.274
0.944 0.944 0.726
0.295 0.295 0.182
0.705 0.705 0.818
0.329 0.329 0.916
0.671 0.671 0.084
0.500 0.500 0.500
```

Uncorrected energy = -26.1 eV per cell
Formation energy (no corrections) = -10.02 eV per formula unit
M_tot = 1.0 μB/f.u.

***

The lowest formation energy (no corrections) belongs to which entry? Ho3PbSeO